(1)
Density functional theory data (PBE-GGA) for a geometry-optimized RbSbP structure.

Properties
DFT total energy ... -3.78 eV/atom
Formation energy without anion corrections ... -82 kJ/mol of formula units

a b c (Å): 14.6157 3.8681 9.3480
angles (deg): 90.00 125.70 90.00
Space group C2/m (No. 12)
Asymmetric unit:
Rb 0.2063 0.0000 0.2068 x4
Sb 0.0114 0.5000 0.7553 x4
P 0.0636 0.0000 0.4708 x4

=====

(2)
Density functional theory data (PBE-GGA) for a geometry-optimized Cu3BiMo structure.

Properties
DFT total energy ... -4.17 eV/atom
E_form ... 1.228 eV/atom

a b c (Å): 4.7124 4.7124 4.7124
angles (deg): 90.00 90.00 90.00
Space group Pm-3m (No. 221)
Asymmetric unit:
Cu 0.0000 0.0000 0.5000 x3
Bi 0.5000 0.5000 0.5000 x1
Mo 0.0000 0.0000 0.0000 x1

=====

(3)
Density functional theory data (PBE-GGA) for a geometry-optimized TaBe2Au structure.

Properties
DFT total energy ... -5.50 eV/atom
E_form ... 0.149 eV/atom

a b c (Å): 5.9402 5.9402 5.9402
angles (deg): 90.00 90.00 90.00
Space group Fm-3m (No. 225)
Asymmetric unit:
Ta 0.0000 0.0000 0.0000 x4
Be 0.2500 0.2500 0.2500 x8
Au 0.0000 0.0000 0.5000 x4

=====

(4)
Density functional theory data (PBE-GGA) for a geometry-optimized KCePmI6 structure.

Properties
DFT total energy ... -3.69 eV/atom
Formation energy without anion corrections ... -1171 kJ/mol of formula units

a b c (Å): 7.9556 7.9556 16.3232
angles (deg): 90.00 90.00 120.00
Space group P-31c (No. 163)
Asymmetric unit:
K 0.0000 0.0000 0.0000 x2
Ce 0.3333 0.6667 0.2500 x2
Pm 0.3333 0.6667 0.7500 x2
I 0.0065 0.3586 0.6351 x12

=====

(5)
Density functional theory data (PBE-GGA) for a geometry-optimized NdSmHo4Se8 structure.

Properties
DFT total energy ... -5.69 eV/atom
Formation energy without anion corrections ... -2310 kJ/mol of formula units

a b c (Å): 8.4459 8.4459 20.8607
angles (deg): 90.00 90.00 120.00
Space group R3m (No. 160, hexagonal axes)
Asymmetric unit:
Nd 0.0000 0.0000 0.0000 x3
Sm 0.0000 0.0000 0.6257 x3
Ho 0.0000 0.0000 0.2523 x3
Ho 0.0021 0.5011 0.1268 x9
Se 0.0000 0.0000 0.3842 x3
Se 0.0000 0.0000 0.8643 x3
Se 0.0242 0.5121 0.3825 x9
Se 0.1734 0.3467 0.2051 x9

=====

(6)
Density functional theory data (PBE-GGA) for a geometry-optimized NdDy2Zn4 structure.

Properties
DFT total energy ... -2.86 eV/atom
E_form ... -0.137 eV/atom

a b c (Å): 5.1902 5.1902 12.6907
angles (deg): 90.00 90.00 90.00
Space group I4/mmm (No. 139)
Asymmetric unit:
Nd 0.0000 0.0000 0.0000 x2
Dy 0.0000 0.0000 0.2755 x4
Zn 0.0000 0.5000 0.1141 x8